Entry 1:
BaZn2Pd2Au: optimized geometry, PBE-GGA.

The symmetry is P4/mmm, No. 123. The formation enthalpy at 0 K comes out at -241 meV per atom.

Unit cell a=4.860 b=4.860 c=6.013 alpha=90.00 beta=90.00 gamma=90.00
Positions (direct):
Ba 0.000 0.000 0.500
Zn 0.000 0.500 0.000
Zn 0.500 0.000 0.000
Pd 0.500 0.500 0.233
Pd 0.500 0.500 0.767
Au 0.000 0.000 0.000

Entry 2:
BaZn2PdAu: optimized geometry, PBE-GGA.

The symmetry is P4/mmm, No. 123. The formation enthalpy at 0 K comes out at -374 meV per atom.

Unit cell a=4.850 b=4.850 c=5.407 alpha=90.00 beta=90.00 gamma=90.00
Positions (direct):
Zn 0.500 0.000 0.000
Zn 0.000 0.500 0.000
Au 0.000 0.000 0.500
Ba 0.500 0.500 0.500
Pd 0.000 0.000 0.000

Entry 3:
Ba2ZnPdAu: optimized geometry, PBE-GGA.

The symmetry is P4/mmm, No. 123. The formation enthalpy at 0 K comes out at -383 meV per atom.

Unit cell a=6.042 b=6.042 c=4.854 alpha=90.00 beta=90.00 gamma=90.00
Positions (direct):
Zn 0.000 0.000 0.500
Ba 0.000 0.500 0.000
Ba 0.500 0.000 0.000
Pd 0.000 0.000 0.000
Au 0.500 0.500 0.500

Entry 4:
BaZnPdAu: optimized geometry, PBE-GGA.

The symmetry is Cm, No. 8. The formation enthalpy at 0 K comes out at -569 meV per atom.

Unit cell a=4.564 b=4.547 c=6.201 alpha=111.67 beta=90.00 gamma=120.13
Positions (direct):
Zn 0.124 0.248 0.015
Pd 0.813 0.627 0.082
Au 0.414 0.828 0.885
Ba 0.615 0.230 0.486

Entry 5:
Ba2ZnPdAu6: optimized geometry, PBE-GGA.

The symmetry is C2/m, No. 12. The formation enthalpy at 0 K comes out at -483 meV per atom.

Unit cell a=5.623 b=9.196 c=7.348 alpha=49.95 beta=67.51 gamma=90.00
Positions (direct):
Zn 0.000 0.000 0.000
Au 0.734 0.748 0.025
Au 0.750 0.613 0.500
Au 0.241 0.749 0.025
Au 0.759 0.251 0.975
Au 0.266 0.252 0.975
Au 0.250 0.387 0.500
Ba 0.767 0.220 0.465
Ba 0.233 0.780 0.535
Pd 0.500 0.500 0.000

Entry 6:
BaPmAu10: optimized geometry, PBE-GGA.

The symmetry is Pmmm, No. 47. The formation enthalpy at 0 K comes out at -411 meV per atom.

Unit cell a=4.724 b=5.650 c=9.942 alpha=90.00 beta=90.00 gamma=90.00
Positions (direct):
Au 0.000 0.000 0.318
Au 0.500 0.753 0.244
Au 0.000 0.500 0.156
Au 0.000 0.500 0.844
Au 0.500 0.247 0.244
Au 0.500 0.753 0.756
Au 0.500 0.500 0.000
Au 0.500 0.000 0.500
Au 0.500 0.247 0.756
Au 0.000 0.000 0.682
Pm 0.000 0.000 0.000
Ba 0.000 0.500 0.500

Entry 7:
BaPmAu: optimized geometry, PBE-GGA.

The symmetry is I4mm, No. 107. The formation enthalpy at 0 K comes out at -445 meV per atom.

Unit cell a=3.904 b=3.904 c=7.495 alpha=105.10 beta=105.10 gamma=90.00
Positions (direct):
Ba 0.023 0.023 0.046
Pm 0.286 0.286 0.572
Au 0.691 0.691 0.382

Entry 8:
Ba2PmAu4: optimized geometry, PBE-GGA.

The symmetry is I4/mmm, No. 139. The formation enthalpy at 0 K comes out at -579 meV per atom.

Unit cell a=5.572 b=5.572 c=8.138 alpha=110.02 beta=110.02 gamma=90.00
Positions (direct):
Au 0.100 0.600 0.200
Au 0.600 0.100 0.200
Au 0.400 0.900 0.800
Au 0.900 0.400 0.800
Pm 0.000 0.000 0.000
Ba 0.282 0.282 0.563
Ba 0.718 0.718 0.437

Entry 9:
BaPmAu: optimized geometry, PBE-GGA.

The symmetry is P4/nmm, No. 129. The formation enthalpy at 0 K comes out at -513 meV per atom.

Unit cell a=5.248 b=5.248 c=7.795 alpha=90.00 beta=90.00 gamma=90.00
Positions (direct):
Au 0.500 0.000 0.689
Au 0.000 0.500 0.311
Pm 0.000 0.000 0.500
Pm 0.500 0.500 0.500
Ba 0.500 0.000 0.120
Ba 0.000 0.500 0.880

Entry 10:
BaPmAu: optimized geometry, PBE-GGA.

The symmetry is P3m1, No. 156. The formation enthalpy at 0 K comes out at -316 meV per atom.

Unit cell a=4.933 b=5.054 c=5.054 alpha=120.00 beta=90.00 gamma=90.00
Positions (direct):
Ba 0.686 0.667 0.333
Pm 0.198 0.333 0.667
Au 0.116 0.000 0.000

Entry 11:
BaPmRhAu: optimized geometry, PBE-GGA.

The symmetry is F-43m, No. 216. The formation enthalpy at 0 K comes out at -429 meV per atom.

Unit cell a=5.286 b=5.286 c=5.286 alpha=60.00 beta=60.00 gamma=60.00
Positions (direct):
Ba 0.500 0.500 0.500
Au 0.250 0.250 0.250
Pm 0.000 0.000 0.000
Rh 0.750 0.750 0.750

Entry 12:
BaPmSb2Au2: optimized geometry, PBE-GGA.

As for the formation energy (no corrections): -0.88 eV/atom. The symmetry is P-3m1, No. 164.

Unit cell a=4.738 b=4.738 c=8.904 alpha=90.00 beta=90.00 gamma=120.00
Positions (direct):
Ba 0.000 0.000 0.000
Sb 0.667 0.333 0.261
Sb 0.333 0.667 0.739
Pm 0.000 0.000 0.500
Au 0.333 0.667 0.308
Au 0.667 0.333 0.692

Entry 13:
BaPmTe3Au: optimized geometry, PBE-GGA.

As for the formation energy (no corrections): -1.24 eV/atom. The symmetry is P2_1/m, No. 11.

Unit cell a=4.543 b=9.296 c=10.256 alpha=104.86 beta=90.00 gamma=90.00
Positions (direct):
Te 0.750 0.907 0.131
Te 0.250 0.757 0.477
Te 0.250 0.559 0.841
Te 0.750 0.243 0.523
Te 0.750 0.441 0.159
Te 0.250 0.093 0.869
Au 0.750 0.907 0.406
Au 0.250 0.093 0.594
Ba 0.250 0.198 0.255
Ba 0.750 0.802 0.745
Pm 0.250 0.682 0.164
Pm 0.750 0.318 0.836

Entry 14:
BaPmTlAu: optimized geometry, PBE-GGA.

The symmetry is F-43m, No. 216. The formation enthalpy at 0 K comes out at -415 meV per atom.

Unit cell a=5.618 b=5.618 c=5.618 alpha=60.00 beta=60.00 gamma=60.00
Positions (direct):
Tl 0.500 0.500 0.500
Au 0.000 0.000 0.000
Ba 0.250 0.250 0.250
Pm 0.750 0.750 0.750

Entry 15:
BaPmZn2Au5: optimized geometry, PBE-GGA.

The symmetry is P4/mmm, No. 123. The formation enthalpy at 0 K comes out at -442 meV per atom.

Unit cell a=5.062 b=5.062 c=8.257 alpha=90.00 beta=90.00 gamma=90.00
Positions (direct):
Au 0.500 0.000 0.783
Au 0.000 0.500 0.217
Au 0.500 0.000 0.217
Au 0.500 0.500 0.500
Au 0.000 0.500 0.783
Zn 0.500 0.500 0.833
Zn 0.500 0.500 0.167
Ba 0.000 0.000 0.500
Pm 0.000 0.000 0.000

Entry 16:
BaPrAu: optimized geometry, PBE-GGA.

The symmetry is P4/nmm, No. 129. The formation enthalpy at 0 K comes out at -497 meV per atom.

Unit cell a=5.316 b=5.316 c=7.813 alpha=90.00 beta=90.00 gamma=90.00
Positions (direct):
Pr 0.500 0.500 0.500
Pr 0.000 0.000 0.500
Au 0.000 0.500 0.309
Au 0.500 0.000 0.691
Ba 0.000 0.500 0.881
Ba 0.500 0.000 0.119

Entry 17:
BaPr2Au6: optimized geometry, PBE-GGA.

The symmetry is P6/mmm, No. 191. The formation enthalpy at 0 K comes out at -704 meV per atom.

Unit cell a=3.789 b=8.359 c=8.359 alpha=120.00 beta=90.00 gamma=90.00
Positions (direct):
Au 0.500 0.000 0.663
Au 0.500 0.000 0.337
Au 0.500 0.663 0.663
Au 0.500 0.337 0.337
Au 0.500 0.663 0.000
Au 0.500 0.337 0.000
Pr 0.000 0.333 0.667
Pr 0.000 0.667 0.333
Ba 0.000 0.000 0.000

Entry 18:
BaPrAu2: optimized geometry, PBE-GGA.

The symmetry is R3m, No. 160. The formation enthalpy at 0 K comes out at -625 meV per atom.

Unit cell a=4.433 b=4.433 c=8.267 alpha=74.45 beta=74.45 gamma=60.00
Positions (direct):
Ba 0.498 0.498 0.507
Au 0.073 0.073 0.781
Au 0.261 0.261 0.218
Pr 0.669 0.669 0.994

Entry 19:
BaPrAu: optimized geometry, PBE-GGA.

The symmetry is I4mm, No. 107. The formation enthalpy at 0 K comes out at -435 meV per atom.

Unit cell a=3.946 b=3.946 c=7.546 alpha=105.16 beta=105.16 gamma=90.00
Positions (direct):
Au 0.689 0.689 0.377
Pr 0.286 0.286 0.573
Ba 0.025 0.025 0.050

Entry 20:
BaPrAu2: optimized geometry, PBE-GGA.

The symmetry is P4/mmm, No. 123. The formation enthalpy at 0 K comes out at -721 meV per atom.

Unit cell a=3.871 b=3.871 c=7.850 alpha=90.00 beta=90.00 gamma=90.00
Positions (direct):
Pr 0.500 0.500 0.000
Au 0.000 0.000 0.205
Au 0.000 0.000 0.795
Ba 0.500 0.500 0.500

Number 1: size of the total moment 0.00 Bohr magnetons per cell. Number 2: size of the total moment 0.00 Bohr magnetons per cell. Number 3: size of the total moment 0.00 Bohr magnetons per cell. Number 4: size of the total moment 0.00 Bohr magnetons per cell. Number 5: size of the total moment 0.00 Bohr magnetons per cell. Number 6: size of the total moment 0.00 Bohr magnetons per cell. Number 7: size of the total moment 0.00 Bohr magnetons per cell. Number 8: size of the total moment 0.00 Bohr magnetons per cell. Number 9: size of the total moment 0.00 Bohr magnetons per cell. Number 10: size of the total moment 0.00 Bohr magnetons per cell. Number 11: size of the total moment 0.00 Bohr magnetons per cell. Number 12: size of the total moment 0.00 Bohr magnetons per cell. Number 13: size of the total moment 0.00 Bohr magnetons per cell. Number 14: size of the total moment 0.00 Bohr magnetons per cell. Number 15: size of the total moment 0.00 Bohr magnetons per cell. Number 16: size of the total moment 0.00 Bohr magnetons per cell. Number 17: size of the total moment 0.00 Bohr magnetons per cell. Number 18: size of the total moment 0.00 Bohr magnetons per cell. Number 19: size of the total moment 0.00 Bohr magnetons per cell. Number 20: size of the total moment 0.00 Bohr magnetons per cell.